Record 1
{"formula": "LaCoRu2", "functional": "PBE", "state": "optimized geometry", "lattice_angstrom": [[-1.4332, 2.2978, 5.0335], [1.4332, -2.2978, 5.0335], [1.4332, 2.2978, -5.0335]], "species": ["La", "Co", "Ru", "Ru"], "fractional_positions": [[0.0000, 0.0000, 0.0000], [0.5000, 0.5000, 0.0000], [0.2840, 0.7840, 0.5000], [0.7160, 0.2160, 0.5000]], "volume_a3_per_atom": 16.6, "delta_e_f_ev_per_atom": 0.325, "dos_ef_per_ev_atom": 1.433, "magmom_total_mub_per_atom": 0.01, "e_above_lowest_polymorph_mev_per_atom": 284}

=====

Record 2
{"formula": "La2CoRu3", "functional": "PBE", "state": "optimized geometry", "lattice_angstrom": [[4.6643, -2.6985, 0.0000], [4.6643, 2.6985, 0.0000], [-3.1085, 0.0000, 4.4090]], "species": ["La", "La", "Co", "Ru", "Ru", "Ru"], "fractional_positions": [[0.1239, 0.1239, 0.3717], [0.8761, 0.8761, 0.6283], [0.5000, 0.5000, 0.5000], [0.0000, 0.5000, 0.0000], [0.5000, 0.0000, 0.0000], [0.5000, 0.5000, 0.0000]], "volume_a3_per_atom": 18.5, "delta_e_f_ev_per_atom": -0.129, "dos_ef_per_ev_atom": 1.209, "magmom_total_mub_per_atom": 0.13}

=====

Record 3
{"formula": "La2CoRu", "functional": "PBE", "state": "optimized geometry", "lattice_angstrom": [[3.5327, 0.0000, 0.0000], [0.0000, 3.5327, 0.0000], [0.0000, 0.0000, 7.9479]], "species": ["La", "La", "Co", "Ru"], "fractional_positions": [[0.0000, 0.0000, 0.0000], [0.5000, 0.5000, 0.4376], [0.5000, 0.5000, 0.7666], [0.0000, 0.0000, 0.6788]], "volume_a3_per_atom": 24.8, "delta_e_f_ev_per_atom": 0.129, "dos_ef_per_ev_atom": 1.453, "magmom_total_mub_per_atom": 0.31}